1.
The following is a DFT calculation (PBE) of NiHgTe after structural relaxation.

Cell and atoms, written as CIF:
```
data_NiHgTe
_cell_length_a 3.3522
_cell_length_b 3.3522
_cell_length_c 13.7725
_cell_angle_alpha 90.00
_cell_angle_beta 90.00
_cell_angle_gamma 90.00
_space_group_name_H-M_alt 'I 4 m m'
_space_group_IT_number 107
_space_group_name_Hall 'I 4 -2'
loop_
_atom_site_label
_atom_site_type_symbol
_atom_site_fract_x
_atom_site_fract_y
_atom_site_fract_z
_atom_site_occupancy
Ni1 Ni 0.0000 0.0000 0.0000 1
Hg1 Hg 0.0000 0.0000 0.7004 1
Te1 Te 0.0000 0.0000 0.4313 1
```

Results
Total energy: -2.926 eV per atom
E_form (uncorrected): 0.148 eV/atom
N(E_F): 2.195 states/eV per cell
Size of the total moment: 0.00 μB per cell
Energy above the most stable polymorph in this dataset: 232 meV/atom

---

2.
The following is a DFT calculation (PBE) of KOsC2 after structural relaxation.

Cell and atoms, written as CIF:
```
data_KOsC2
_cell_length_a 6.1198
_cell_length_b 6.1198
_cell_length_c 8.7698
_cell_angle_alpha 90.00
_cell_angle_beta 90.00
_cell_angle_gamma 90.00
_space_group_name_H-M_alt 'I 41/a m d'
_space_group_IT_number 141
loop_
_space_group_symop_operation_xyz
'x,y,z'
'-x,-y,-z'
'-y+1/4,x+3/4,z+1/4'
'y+1/4,-x+3/4,-z+1/4'
'-x+1/2,-y,z+1/2'
'x+1/2,y,-z+1/2'
'y+1/4,-x+1/4,z+3/4'
'-y+1/4,x+1/4,-z+3/4'
'x,-y,-z'
'-x,y,z'
'-y+1/4,-x+1/4,-z+3/4'
'y+1/4,x+1/4,z+3/4'
'-x+1/2,y,-z+1/2'
'x+1/2,-y,z+1/2'
'y+1/4,x+3/4,-z+1/4'
'-y+1/4,-x+3/4,z+1/4'
'x+1/2,y+1/2,z+1/2'
'-x+1/2,-y+1/2,-z+1/2'
'-y+3/4,x+1/4,z+3/4'
'y+3/4,-x+1/4,-z+3/4'
'-x,-y+1/2,z'
'x,y+1/2,-z'
'y+3/4,-x+3/4,z+1/4'
'-y+3/4,x+3/4,-z+1/4'
'x+1/2,-y+1/2,-z+1/2'
'-x+1/2,y+1/2,z+1/2'
'-y+3/4,-x+3/4,-z+1/4'
'y+3/4,x+3/4,z+1/4'
'-x,y+1/2,-z'
'x,-y+1/2,z'
'y+3/4,x+1/4,-z+3/4'
'-y+3/4,-x+1/4,z+3/4'
loop_
_atom_site_label
_atom_site_type_symbol
_atom_site_fract_x
_atom_site_fract_y
_atom_site_fract_z
_atom_site_occupancy
K1 K 0.0000 0.2500 0.3750 1
Os1 Os 0.0000 0.2500 0.8750 1
C1 C 0.0000 0.0000 0.0000 1
```

Results
Total energy: -7.162 eV per atom
N(E_F): 2.205 states/eV per cell
Formation enthalpy at 0 K: 0.5322 eV/atom
Size of the total moment: 0.00 μB per cell
Energy above the most stable polymorph in this dataset: 0 meV/atom

---

3.
The following is a DFT calculation (PBE) of GaHg3Bi after structural relaxation.

Cell and atoms, written as CIF:
```
data_GaHg3Bi
_cell_length_a 5.2726
_cell_length_b 5.2726
_cell_length_c 5.2726
_cell_angle_alpha 90.00
_cell_angle_beta 90.00
_cell_angle_gamma 90.00
_space_group_name_H-M_alt 'P m -3 m'
_space_group_IT_number 221
_space_group_name_Hall '-P 4 2 3'
loop_
_atom_site_label
_atom_site_type_symbol
_atom_site_fract_x
_atom_site_fract_y
_atom_site_fract_z
_atom_site_occupancy
Ga1 Ga 0.0000 0.0000 0.0000 1
Hg1 Hg 0.0000 0.0000 0.5000 1
Bi1 Bi 0.5000 0.5000 0.5000 1
```

Results
Total energy: -1.281 eV per atom
N(E_F): 4.332 states/eV per cell
Formation enthalpy at 0 K: 0.2819 eV/atom
Size of the total moment: 0.00 μB per cell
Energy above the most stable polymorph in this dataset: 0 meV/atom

---

4.
The following is a DFT calculation (PBE) of LiInCl3 after structural relaxation.

Cell and atoms, written as CIF:
```
data_LiInCl3
_cell_length_a 6.8969
_cell_length_b 7.3448
_cell_length_c 14.4824
_cell_angle_alpha 90.00
_cell_angle_beta 116.36
_cell_angle_gamma 90.00
_space_group_name_H-M_alt 'P 1 21/c 1'
_space_group_IT_number 14
_space_group_name_Hall '-P 2ybc'
loop_
_atom_site_label
_atom_site_type_symbol
_atom_site_fract_x
_atom_site_fract_y
_atom_site_fract_z
_atom_site_occupancy
Li1 Li 0.2101 0.1121 0.3271 1
In1 In 0.1758 0.0859 0.5762 1
Cl1 Cl 0.0091 0.6885 0.8148 1
Cl2 Cl 0.3164 0.2120 0.9852 1
Cl3 Cl 0.5004 0.0450 0.2870 1
```

Results
Total energy: -3.316 eV per atom
E_form (uncorrected): -1.278 eV/atom
N(E_F): 0.000 states/eV per cell
Size of the total moment: 0.00 μB per cell